DFT (PBE with a Hubbard U) results for crystalline CoPt3F at its relaxed geometry.

The structure in POSCAR format:
```
CoPt3F
1.0
-4.099 -1.371 -0.484
-0.336 -0.515 4.305
-1.415 4.095 0.380
Co Pt F
1 3 1
Cartesian
-2.925 1.104 2.101
-0.168 -0.258 2.153
-0.707 2.047 0.190
-2.049 -0.686 -0.242
0.000 0.000 0.000
```

Properties
Theoretical density: 13.39 g/cm3
Energy above the most stable polymorph in this dataset: 0.000 eV/atom
Size of the total moment: 3.36 Bohr magnetons per cell